(1)
{"formula": "CeTmInSn", "functional": "PBE", "state": "optimized geometry", "cell": [[-1.3524, 5.1904, 0.0123], [-4.5471, 1.5923, -2.3577], [-4.1209, 1.6906, 2.9882]], "species": ["Tm", "In", "Ce", "Sn"], "fractional_positions": [[0.5000, 0.5000, 0.5000], [0.7500, 0.7500, 0.7500], [0.0000, 0.0000, 0.0000], [0.2500, 0.2500, 0.2500]], "de_polymorph_mev_per_atom": 38, "n_ef_per_ev_fu": 8.1, "final_energy_ev_per_cell": -18.96, "total_magnetization_mub_per_cell": 0.95, "ef_mev_per_atom": -455, "crystal_system": "cubic"}

=====

(2)
{"formula": "Nd3Th", "functional": "PBE", "state": "optimized geometry", "cell": [[-2.0153, -0.2148, -3.0355], [-2.7411, -2.4013, -0.2045], [-9.0863, 7.3153, 3.3207]], "species": ["Nd", "Nd", "Nd", "Th"], "fractional_positions": [[0.2526, 0.2526, 0.2422], [0.5000, 0.5000, 0.5000], [0.7474, 0.7474, 0.7578], [0.0000, 0.0000, 0.0000]], "de_polymorph_mev_per_atom": 0, "n_ef_per_ev_fu": 6.6, "final_energy_ev_per_cell": -21.60, "total_magnetization_mub_per_cell": 0.00, "ef_mev_per_atom": 32, "crystal_system": "trigonal"}

=====

(3)
{"formula": "Cr2PtCl", "functional": "PBE", "state": "optimized geometry", "cell": [[4.7500, 0.0163, 0.0000], [-0.0203, 4.7500, 0.0000], [0.0000, 0.0000, 2.9662]], "species": ["Cl", "Cr", "Pt", "Cr"], "fractional_positions": [[0.0000, 0.5000, 0.5000], [0.5000, 0.5000, 0.0000], [0.5000, 0.0000, 0.5000], [0.0000, 0.0000, 0.0000]], "e_form_raw_ev_per_fu": 0.96, "de_polymorph_mev_per_atom": 247, "n_ef_per_ev_fu": 4.3, "final_energy_ev_per_cell": -26.17, "total_magnetization_mub_per_cell": 8.52, "crystal_system": "tetragonal"}

=====

(4)
{"formula": "Pr12YCd3", "functional": "PBE", "state": "optimized geometry", "cell": [[-1.7685, 0.2133, -4.7245], [1.4454, -4.7783, -0.7568], [-18.2646, -6.5607, 6.5408]], "species": ["Pr", "Cd", "Cd", "Pr", "Pr", "Pr", "Pr", "Pr", "Pr", "Pr", "Y", "Pr", "Pr", "Cd", "Pr", "Pr"], "fractional_positions": [[0.5000, 0.0000, 0.6226], [0.0000, 0.0000, 0.2565], [0.0000, 0.0000, 0.5000], [0.5000, 0.5000, 0.0000], [0.0000, 0.5000, 0.8695], [0.5000, 0.5000, 0.2540], [0.5000, 0.0000, 0.8695], [0.5000, 0.5000, 0.7460], [0.0000, 0.5000, 0.6226], [0.5000, 0.0000, 0.3774], [0.0000, 0.0000, 0.0000], [0.5000, 0.0000, 0.1305], [0.5000, 0.5000, 0.5000], [0.0000, 0.0000, 0.7435], [0.0000, 0.5000, 0.1305], [0.0000, 0.5000, 0.3774]], "n_ef_per_ev_fu": 24.1, "final_energy_ev_per_cell": -67.82, "total_magnetization_mub_per_cell": 0.00, "ef_mev_per_atom": -79, "crystal_system": "tetragonal"}

=====

(5)
{"formula": "SbHIrNF", "functional": "PBE", "state": "optimized geometry", "cell": [[4.7747, 0.0000, -0.0082], [0.0000, 3.0510, 0.0000], [-4.5358, 0.0000, 8.6313]], "species": ["N", "Ir", "H", "F", "Sb", "H", "Ir", "N", "Sb", "F"], "fractional_positions": [[0.0885, 0.0000, 0.4975], [0.5540, 0.0000, 0.6359], [0.0730, 0.5000, 0.8879], [0.0464, 0.5000, 0.2592], [0.7183, 0.0000, 0.9487], [0.0730, 0.0000, 0.3879], [0.5540, 0.5000, 0.1359], [0.0885, 0.5000, 0.9975], [0.7183, 0.5000, 0.4487], [0.0464, 0.0000, 0.7592]], "de_polymorph_mev_per_atom": 94, "n_ef_per_ev_fu": 1.6, "final_energy_ev_per_cell": -55.61, "total_magnetization_mub_per_cell": 0.00, "crystal_system": "monoclinic"}

=====

(6)
{"formula": "Na2Mg4Tl3", "functional": "PBE", "state": "optimized geometry", "cell": [[-3.9111, 2.5687, -0.8370], [-0.9847, -5.4330, 1.4221], [-1.9073, 0.2004, 9.5405]], "species": ["Tl", "Na", "Tl", "Na", "Mg", "Mg", "Mg", "Mg", "Tl"], "fractional_positions": [[0.6599, 0.3207, 0.4238], [0.6727, 0.3446, 0.7692], [0.0000, 0.0000, 0.0000], [0.3273, 0.6554, 0.2308], [0.3392, 0.6783, 0.8943], [0.0116, 0.0223, 0.6589], [0.9884, 0.9777, 0.3411], [0.6608, 0.3217, 0.1057], [0.3401, 0.6793, 0.5762]], "n_ef_per_ev_fu": 3.3, "final_energy_ev_per_cell": -16.28, "total_magnetization_mub_per_cell": 0.00, "ef_mev_per_atom": -18, "crystal_system": "triclinic"}

=====

(7)
{"formula": "In2POs", "functional": "PBE", "state": "optimized geometry", "cell": [[5.0589, 0.0103, 0.0000], [1.5560, 4.8137, 0.0000], [-3.3075, -2.4120, 2.9725]], "species": ["In", "P", "Os", "In"], "fractional_positions": [[0.0000, 0.0000, 0.0000], [0.7500, 0.2500, 0.5000], [0.2500, 0.7500, 0.5000], [0.5000, 0.5000, 0.0000]], "n_ef_per_ev_fu": 3.6, "final_energy_ev_per_cell": -19.50, "total_magnetization_mub_per_cell": 0.00, "ef_mev_per_atom": 654, "crystal_system": "tetragonal"}

=====

(8)
{"formula": "Zn3ReC", "functional": "PBE", "state": "optimized geometry", "cell": [[-4.0462, 2.2330, 1.3807], [-1.6584, -0.2074, -4.5245], [-2.0353, -4.2703, 0.9417]], "species": ["Re", "Zn", "C", "Zn", "Zn"], "fractional_positions": [[0.0000, 0.0000, 0.0000], [0.0000, 0.5000, 0.0000], [0.5000, 0.5000, 0.5000], [0.0000, 0.0000, 0.5000], [0.5000, 0.0000, 0.0000]], "de_polymorph_mev_per_atom": 1121, "n_ef_per_ev_fu": 5.1, "final_energy_ev_per_cell": -13.92, "total_magnetization_mub_per_cell": 0.02, "ef_mev_per_atom": 2314, "crystal_system": "cubic"}

=====

(9)
{"formula": "MgBe2Al", "functional": "PBE", "state": "optimized geometry", "cell": [[2.8540, 0.0000, 0.0000], [0.0000, 2.6955, 0.0000], [0.0000, 0.0000, 7.0100]], "species": ["Mg", "Al", "Be", "Be"], "fractional_positions": [[0.0000, 0.0000, 0.4615], [0.5000, 0.5000, 0.8008], [0.5000, 0.5000, 0.1954], [0.0000, 0.0000, 0.0423]], "de_polymorph_mev_per_atom": 185, "n_ef_per_ev_fu": 1.0, "final_energy_ev_per_cell": -11.86, "total_magnetization_mub_per_cell": 0.00, "ef_mev_per_atom": 233, "crystal_system": "orthorhombic"}

=====

(10)
{"formula": "Ho2VIr3", "functional": "PBE", "state": "optimized geometry", "cell": [[5.5246, 0.0000, 0.0000], [-2.7623, 4.7844, 0.0000], [0.0000, 0.0000, 8.0996]], "species": ["Ir", "V", "Ir", "Ho", "Ir", "V", "Ho", "Ir", "Ho", "Ho", "Ir", "Ir"], "fractional_positions": [[0.6620, 0.8310, 0.2500], [0.0000, 0.0000, 0.0000], [0.8310, 0.6620, 0.7500], [0.6667, 0.3333, 0.4382], [0.3380, 0.1690, 0.7500], [0.0000, 0.0000, 0.5000], [0.3333, 0.6667, 0.5618], [0.1690, 0.8310, 0.2500], [0.3333, 0.6667, 0.9382], [0.6667, 0.3333, 0.0618], [0.8310, 0.1690, 0.7500], [0.1690, 0.3380, 0.2500]], "n_ef_per_ev_fu": 3.9, "final_energy_ev_per_cell": -99.50, "total_magnetization_mub_per_cell": 0.00, "ef_mev_per_atom": -815, "crystal_system": "hexagonal"}

=====

(11)
{"formula": "PmHo3ThSc", "functional": "PBE", "state": "optimized geometry", "cell": [[-4.4305, 1.7297, -1.5613], [-3.6454, -4.8864, 4.9310], [2.3754, 9.4866, 3.7694]], "species": ["Pm", "Ho", "Ho", "Ho", "Sc", "Sc", "Ho", "Pm", "Ho", "Ho", "Th", "Th"], "fractional_positions": [[0.7500, 0.8769, 0.7034], [0.7500, 0.3661, 0.5420], [0.2500, 0.6131, 0.7902], [0.7500, 0.3869, 0.2098], [0.2500, 0.1269, 0.6265], [0.7500, 0.8731, 0.3735], [0.2500, 0.6339, 0.4580], [0.2500, 0.1231, 0.2966], [0.2500, 0.1291, 0.9536], [0.7500, 0.8709, 0.0464], [0.2500, 0.6229, 0.1244], [0.7500, 0.3771, 0.8756]], "n_ef_per_ev_fu": 9.5, "final_energy_ev_per_cell": -63.99, "total_magnetization_mub_per_cell": 0.00, "ef_mev_per_atom": 40, "crystal_system": "monoclinic"}

=====

(12)
{"formula": "LiMgAg2Cl5", "functional": "PBE", "state": "optimized geometry", "cell": [[-3.3662, -0.4605, -1.6814], [3.4674, -7.4602, -0.6253], [-5.4193, -3.5087, 11.8106]], "species": ["Cl", "Cl", "Ag", "Ag", "Cl", "Cl", "Ag", "Ag", "Cl", "Cl", "Mg", "Mg", "Cl", "Cl", "Cl", "Li", "Li", "Cl"], "fractional_positions": [[0.2527, 0.5054, 0.6574], [0.0978, 0.1955, 0.0284], [0.9205, 0.8409, 0.1829], [0.0795, 0.1591, 0.6829], [0.4035, 0.8069, 0.0400], [0.2463, 0.4925, 0.3976], [0.8685, 0.7370, 0.7543], [0.1315, 0.2630, 0.2543], [0.7473, 0.4946, 0.1574], [0.5085, 0.0170, 0.2861], [0.2513, 0.5027, 0.0205], [0.7487, 0.4973, 0.5205], [0.7537, 0.5075, 0.8976], [0.4915, 0.9830, 0.7861], [0.5965, 0.1931, 0.5400], [0.5339, 0.0678, 0.9568], [0.4661, 0.9322, 0.4568], [0.9022, 0.8045, 0.5284]], "e_form_raw_ev_per_fu": -10.64, "n_ef_per_ev_fu": 0.0, "final_energy_ev_per_cell": -58.17, "total_magnetization_mub_per_cell": 0.00, "crystal_system": "orthorhombic"}

=====

| no. | volume (Å³/cell) |
| --- | --- |
| 1 | 109.12 |
| 2 | 137.80 |
| 3 | 66.92 |
| 4 | 522.11 |
| 5 | 125.62 |
| 6 | 229.84 |
| 7 | 72.34 |
| 8 | 112.21 |
| 9 | 53.93 |
| 10 | 214.09 |
| 11 | 368.76 |
| 12 | 409.71 |